Density functional theory data (GGA-PBE) for an optimized crystal structure of Al6SnTe10.

Results
Symmetry   No. 152
ΔE_f (raw)   -0.434 eV/atom
Mass density   4.5 g/cm3

```
102
Lattice="14.854 0.000 0.000 -7.427 12.864 0.000 0.000 0.000 18.163" Properties=species:S:1:pos:R:3 pbc="T T T"
Al -6.791 11.921 1.467
Al 13.720 0.079 4.588
Al 7.925 11.842 10.642
Al 6.293 12.784 13.575
Al 6.959 10.048 7.340
Al 6.896 7.097 16.859
Al 10.076 5.228 1.255
Al 7.917 5.412 13.668
Al 8.070 5.180 4.618
Al 5.288 6.112 7.309
Al 10.125 3.344 10.805
Al 12.649 1.813 1.286
Al 6.333 4.399 10.672
Al 8.155 3.301 7.614
Al 7.878 3.285 16.726
Al 6.208 4.150 1.560
Al 5.222 11.051 16.876
Al 6.916 1.523 13.363
Al 5.260 2.423 4.750
Al 2.698 9.520 7.358
Al 2.673 1.003 13.395
Al -0.510 11.341 4.800
Al 0.728 9.563 10.549
Al 0.451 9.579 1.436
Al 2.649 7.636 16.908
Al -2.167 10.440 13.412
Al -4.754 11.861 4.768
Al 0.643 7.684 13.545
Al -1.219 8.713 16.603
Al -1.094 8.465 7.491
Al 0.490 7.452 4.495
Al -2.139 6.751 10.854
Al -0.531 5.767 1.304
Al -0.468 2.816 10.822
Al 0.498 1.022 7.521
Al 0.636 0.942 16.696
Sn 8.670 8.382 2.909
Sn 10.351 1.165 15.018
Sn 3.260 3.317 8.963
Sn 2.924 11.699 3.145
Sn -4.167 9.547 9.199
Sn 1.243 4.482 15.253
Te 6.250 10.825 3.027
Te 7.895 11.147 17.050
Te 11.184 0.000 0.000
Te -5.592 9.686 6.054
Te 7.410 9.387 9.859
Te 9.237 7.405 18.141
Te 10.464 5.944 3.781
Te 7.162 7.778 14.374
Te 4.936 8.602 18.016
Te -2.446 4.288 11.962
Te 8.695 5.595 11.084
Te 7.937 5.975 7.190
Te 9.747 4.388 15.265
Te -1.177 2.039 15.135
Te 6.180 6.247 3.156
Te 10.582 2.773 8.320
Te 4.474 6.090 9.835
Te 11.851 1.754 3.804
Te 5.661 4.733 17.138
Te 13.133 0.453 10.995
Te 8.633 3.003 1.136
Te 5.711 3.886 13.245
Te 5.706 12.410 7.167
Te 7.925 2.536 5.030
Te 3.823 4.297 6.033
Te 9.221 1.162 12.087
Te 6.354 2.229 9.210
Te 7.343 0.830 15.890
Te 4.424 11.110 14.358
Te 4.537 2.313 2.266
Te 1.794 11.702 6.075
Te 3.020 1.724 15.913
Te -0.084 12.034 2.273
Te 3.155 10.091 9.843
Te 4.981 8.576 6.201
Te -2.490 12.838 5.907
Te 4.937 0.026 12.255
Te 0.498 10.328 13.133
Te 1.253 1.264 4.941
Te 1.206 9.861 17.026
Te -1.073 10.635 8.952
Te 2.320 8.475 2.898
Te -2.890 10.550 15.897
Te 3.037 6.920 14.381
Te -4.407 11.140 2.250
Te 1.268 7.269 7.079
Te -6.174 11.600 13.221
Te -1.716 8.978 4.918
Te 0.510 6.889 10.972
Te -1.766 8.131 1.025
Te 1.810 5.459 0.021
Te -3.604 8.567 12.130
Te -1.247 6.617 15.006
Te -2.953 6.774 8.327
Te -0.265 5.086 3.789
Te 1.835 3.178 12.108
Te -0.017 3.477 8.304
Te 12.363 4.262 0.147
Te 0.468 1.717 1.113
Te 2.354 0.000 9.081
```



Density functional theory data (GGA-PBE) for an optimized crystal structure of Al2Sn2Te.

Results
Symmetry   No. 127
Relative energy among the computed polymorphs   25.4 meV per atom
ΔE_f (raw)   0.141 eV/atom
Mass density   5.8 g/cm3

```
10
Lattice="-7.281 -2.751 1.430 2.682 -7.419 -0.620 0.758 -0.042 3.782" Properties=species:S:1:pos:R:3 pbc="T T T"
Te 0.000 0.000 0.000
Te -2.300 -5.085 0.405
Sn 0.892 -5.562 1.727
Sn -2.374 -7.975 2.355
Sn -4.732 -4.650 2.865
Sn -1.467 -2.237 2.236
Al -0.395 -7.548 -0.004
Al -4.718 -7.033 0.868
Al -4.204 -2.623 0.814
Al 0.119 -3.137 -0.059
```



Density functional theory data (GGA-PBE) for an optimized crystal structure of Al5Sn3Te12.

Results
Symmetry   No. 230
ΔE_f (raw)   -0.205 eV/atom
Mass density   5.2 g/cm3

```
80
Lattice="-9.767 -10.310 -4.643 -0.671 1.152 14.882 -3.364 13.185 -6.173" Properties=species:S:1:pos:R:3 pbc="T T T"
Sn -7.998 -5.652 1.327
Sn -9.470 -6.509 6.328
Sn -6.268 5.238 5.563
Sn -3.787 2.511 -1.615
Sn -9.471 -5.581 -3.745
Sn -4.923 0.150 6.017
Sn -8.879 3.877 -1.950
Sn -4.331 9.608 7.812
Sn -10.015 1.516 5.682
Sn -7.534 -1.211 -1.496
Sn -4.332 10.536 -2.261
Sn -5.805 9.679 2.740
Al -2.313 2.439 3.457
Al -0.335 0.576 7.441
Al 0.000 0.000 0.000
Al -4.251 -1.930 1.208
Al -6.566 1.437 -5.408
Al -5.219 -4.579 5.120
Al -2.985 4.519 8.266
Al -10.353 3.948 -7.023
Al -9.006 -2.068 3.504
Al -6.270 6.166 -4.510
Al -7.533 -2.140 8.577
Al -6.901 2.013 2.033
Al -4.884 -5.155 -2.321
Al -1.682 6.592 -3.086
Al -4.796 6.095 0.562
Al -3.449 0.079 11.089
Al -2.017 7.168 4.355
Al -10.817 -0.493 -4.200
Al -9.551 5.957 2.859
Al -11.489 1.587 0.609
Te -7.111 -6.752 -1.734
Te -4.904 2.741 3.861
Te -10.691 -5.703 -0.605
Te -5.733 -3.689 -0.088
Te -8.526 3.649 3.628
Te -10.444 -6.972 3.134
Te -5.061 2.973 7.748
Te -1.846 1.716 12.400
Te -8.650 4.000 7.507
Te -7.917 -4.295 4.411
Te -9.326 -2.579 0.935
Te -8.759 -7.011 9.584
Te -3.417 6.614 6.720
Te -4.316 -2.262 3.826
Te -2.787 5.152 10.821
Te -6.045 3.645 -3.761
Te -1.711 2.021 0.922
Te -5.315 -2.912 7.372
Te -9.627 -3.601 7.910
Te -1.716 0.389 5.008
Te -7.042 7.606 7.750
Te -7.514 0.062 3.951
Te -11.269 -1.462 4.721
Te -11.001 4.201 -4.477
Te -6.288 3.964 0.115
Te -2.533 5.488 -0.654
Te -2.801 -0.174 8.543
Te -4.175 7.627 -3.843
Te -6.760 -3.579 -3.683
Te -12.087 3.638 -0.941
Te -8.487 6.939 -3.305
Te -7.757 0.381 7.827
Te -12.091 2.006 3.145
Te -11.015 -1.125 -6.755
Te -10.385 -2.588 -2.653
Te -5.043 11.037 -5.518
Te -9.486 6.289 0.241
Te -5.152 0.027 -3.440
Te -5.885 8.321 -0.345
Te -4.477 6.606 3.132
Te -11.956 2.311 -8.333
Te -8.741 1.053 -3.682
Te -8.069 7.715 4.155
Te -3.358 10.998 0.933
Te -5.276 0.377 0.439
Te -3.111 9.730 4.672
Te -8.898 1.285 0.205
Te -6.691 10.779 5.800
```